(1)
The following is a PBE calculation of Tm5CuS4 after structural relaxation, from the Alexandria database.

Unit cell a=6.788 b=6.788 c=9.588 alpha=118.74 beta=118.74 gamma=32.61
Positions (direct):
Tm: 0.000 0.000 0.000
Tm: 0.196 0.196 0.795
Tm: 0.400 0.400 0.600
Tm: 0.600 0.600 0.400
Tm: 0.804 0.804 0.205
Cu: 0.000 0.000 0.500
S: 0.198 0.198 0.297
S: 0.396 0.396 0.091
S: 0.604 0.604 0.909
S: 0.802 0.802 0.703

**E**: -5.889 eV/atom
**Symmetry**: C2/m
**Formation energy from raw total energies**: -1.592 eV/atom



(2)
The following is a PBE calculation of LiSc2Zn4 after structural relaxation, from the Alexandria database.

Unit cell a=7.024 b=7.024 c=7.024 alpha=38.43 beta=38.43 gamma=38.43
Positions (direct):
Li: 0.000 0.000 0.000
Sc: 0.279 0.279 0.279
Sc: 0.721 0.721 0.721
Zn: 0.129 0.129 0.129
Zn: 0.428 0.428 0.428
Zn: 0.572 0.572 0.572
Zn: 0.871 0.871 0.871

**E**: -2.943 eV/atom
**Symmetry**: R-3m
**Calculated formation energy**: -0.13 eV per atom